1.
## RuAu (PBE-GGA)

Data for crystalline RuAu at its relaxed geometry.

The value obtained for the offset from the most stable computed form is 793 meV/atom.

The structure belongs to space group P4_2/mnm (No. 136); the cell edges are 5.225, 5.225 and 5.387 Å and the angles 90.00°, 90.00° and 90.00°. The distinct sites, in fractional coordinates, are Ru at (0.167, 0.167, 0.000) and Au at (0.181, 0.181, 0.500).

---

2.
## RuAu2 (PBE-GGA)

Data for crystalline RuAu2 at its relaxed geometry.

The value obtained for the offset from the most stable computed form is 474 meV/atom.

The structure belongs to space group Fd-3m (No. 227, origin choice 2); the cell edges are 7.588, 7.588 and 7.588 Å and the angles 90.00°, 90.00° and 90.00°. The distinct sites, in fractional coordinates, are Ru at (0.125, 0.125, 0.125) and Au at (0.000, 0.000, 0.500).

---

3.
## RuAu2 (PBE-GGA)

Data for crystalline RuAu2 at its relaxed geometry.

The value obtained for the offset from the most stable computed form is 14 meV/atom.

The structure belongs to space group C2/m (No. 12); the cell edges are 10.766, 2.842 and 6.942 Å and the angles 90.00°, 107.86° and 90.00°. The distinct sites, in fractional coordinates, are Ru at (0.202, 0.000, 0.114), Au at (0.014, 0.500, 0.804) and Au at (0.147, 0.000, 0.545).

---

4.
## Ru2Au3 (PBE-GGA)

Data for crystalline Ru2Au3 at its relaxed geometry.

The calculation puts the energy at -79.2 eV per cell.

The structure belongs to space group R-3m (No. 166, hexagonal axes); the cell edges are 2.8360, 2.8360 and 35.1550 Å and the angles 90.00°, 90.00° and 120.00°. The distinct sites, in fractional coordinates, are Ru at (0.0000, 0.0000, 0.1014), Au at (0.0000, 0.0000, 0.2978) and Au at (0.0000, 0.0000, 0.5000).

---

5.
## Ru2Au (PBE-GGA)

Data for crystalline Ru2Au at its relaxed geometry.

The value obtained for the offset from the most stable computed form is 612 meV/atom.

The structure belongs to space group P-3m1 (No. 164); the cell edges are 3.6262, 3.6262 and 4.8012 Å and the angles 90.00°, 90.00° and 120.00°. The distinct sites, in fractional coordinates, are Ru at (0.3333, 0.6667, 0.3863) and Au at (0.0000, 0.0000, 0.0000).

---

6.
## Ru2Au (PBE-GGA)

Data for crystalline Ru2Au at its relaxed geometry.

The value obtained for the offset from the most stable computed form is 232 meV/atom.

The structure belongs to space group P6_3/mmc (No. 194); the cell edges are 4.3793, 4.3793 and 5.7061 Å and the angles 90.00°, 90.00° and 120.00°. The distinct sites, in fractional coordinates, are Ru at (0.3333, 0.6667, 0.0298) and Au at (0.0000, 0.0000, 0.2500).

---

7.
## RuAu2 (PBE-GGA)

Data for crystalline RuAu2 at its relaxed geometry.

The value obtained for the offset from the most stable computed form is 83 meV/atom.

The structure belongs to space group I4_1/amd (No. 141, origin choice 2); the cell edges are 2.784, 2.784 and 26.806 Å and the angles 90.00°, 90.00° and 90.00°. The distinct sites, in fractional coordinates, are Ru at (0.000, 0.250, 0.375) and Au at (0.000, 0.250, 0.797).

---

8.
## RuAu (PBE-GGA)

Data for crystalline RuAu at its relaxed geometry.

The value obtained for the offset from the most stable computed form is 279 meV/atom.

The structure belongs to space group Imma (No. 74); the cell edges are 2.817, 4.780 and 9.700 Å and the angles 90.00°, 90.00° and 90.00°. The distinct sites, in fractional coordinates, are Ru at (0.000, 0.250, 0.144) and Au at (0.000, 0.250, 0.615).